Version 1
DFT (PBE-GGA) results for crystalline LaSiN2F at its relaxed geometry.

a b c (Å): 3.777 3.777 3.899
angles (deg): 90.00 90.00 90.00
Fractional coordinates of all 5 atoms:
La  0.000  0.000  0.000
Si  0.500  0.500  0.500
N  0.000  0.500  0.500
N  0.500  0.000  0.500
F  0.500  0.500  0.000

Version 2
DFT (PBE-GGA) results for crystalline LaSiN2F at its relaxed geometry.

a b c (Å): 4.515 4.515 4.516
angles (deg): 90.00 90.00 90.00
Fractional coordinates of all 5 atoms:
La  0.000  0.000  0.000
Si  0.500  0.500  0.500
N  0.000  0.500  0.000
N  0.500  0.000  0.000
F  0.000  0.000  0.500

Most stable one: version 1, least stable one: version 2.

Version 1
DFT (PBE-GGA) results for crystalline LaSnNF2 at its relaxed geometry.

a b c (Å): 4.634 4.634 4.797
angles (deg): 90.00 90.00 90.00
Fractional coordinates of all 5 atoms:
La  0.000  0.000  0.000
Sn  0.500  0.500  0.500
N  0.000  0.000  0.500
F  0.000  0.500  0.000
F  0.500  0.000  0.000

Version 2
DFT (PBE-GGA) results for crystalline LaSnNF2 at its relaxed geometry.

a b c (Å): 4.540 4.540 4.278
angles (deg): 90.00 90.00 90.00
Fractional coordinates of all 5 atoms:
La  0.000  0.000  0.000
Sn  0.500  0.500  0.500
N  0.500  0.500  0.000
F  0.000  0.500  0.500
F  0.500  0.000  0.500

Most stable one: version 1, least stable one: version 2.

Version 1
DFT (PBE-GGA) results for crystalline SrLaNF2 at its relaxed geometry.

a b c (Å): 4.686 4.686 4.791
angles (deg): 90.00 90.00 90.00
Fractional coordinates of all 5 atoms:
Sr  0.000  0.000  0.000
La  0.500  0.500  0.500
N  0.500  0.500  0.000
F  0.000  0.500  0.500
F  0.500  0.000  0.500

Version 2
DFT (PBE-GGA) results for crystalline SrLaNF2 at its relaxed geometry.

a b c (Å): 4.369 4.369 5.290
angles (deg): 90.00 90.00 90.00
Fractional coordinates of all 5 atoms:
Sr  0.000  0.000  0.000
La  0.500  0.500  0.500
N  0.000  0.000  0.500
F  0.000  0.500  0.000
F  0.500  0.000  0.000

Most stable one: version 1, least stable one: version 2.

Version 1
DFT (PBE-GGA) results for crystalline LaTcNF2 at its relaxed geometry.

a b c (Å): 4.575 4.575 4.834
angles (deg): 90.00 90.00 90.00
Fractional coordinates of all 5 atoms:
La  0.000  0.000  0.000
Tc  0.500  0.500  0.500
N  0.000  0.000  0.500
F  0.000  0.500  0.000
F  0.500  0.000  0.000

Version 2
DFT (PBE-GGA) results for crystalline LaTcNF2 at its relaxed geometry.

a b c (Å): 4.321 4.321 3.896
angles (deg): 90.00 90.00 90.00
Fractional coordinates of all 5 atoms:
La  0.000  0.000  0.000
Tc  0.500  0.500  0.500
N  0.500  0.500  0.000
F  0.000  0.500  0.500
F  0.500  0.000  0.500

Most stable one: version 2, least stable one: version 1.

Version 1
DFT (PBE-GGA) results for crystalline LaTeNF2 at its relaxed geometry.

a b c (Å): 4.733 4.733 4.192
angles (deg): 90.00 90.00 90.00
Fractional coordinates of all 5 atoms:
La  0.000  0.000  0.000
Te  0.500  0.500  0.500
N  0.500  0.500  0.000
F  0.000  0.500  0.500
F  0.500  0.000  0.500

Version 2
DFT (PBE-GGA) results for crystalline LaTeNF2 at its relaxed geometry.

a b c (Å): 4.473 4.473 5.327
angles (deg): 90.00 90.00 90.00
Fractional coordinates of all 5 atoms:
La  0.000  0.000  0.000
Te  0.500  0.500  0.500
N  0.000  0.000  0.500
F  0.000  0.500  0.000
F  0.500  0.000  0.000

Most stable one: version 2, least stable one: version 1.

Version 1
DFT (PBE-GGA) results for crystalline LaTeN2F at its relaxed geometry.

a b c (Å): 4.737 4.737 4.441
angles (deg): 90.00 90.00 90.00
Fractional coordinates of all 5 atoms:
La  0.000  0.000  0.000
Te  0.500  0.500  0.500
N  0.000  0.500  0.000
N  0.500  0.000  0.000
F  0.000  0.000  0.500

Version 2
DFT (PBE-GGA) results for crystalline LaTeN2F at its relaxed geometry.

a b c (Å): 4.085 4.085 7.127
angles (deg): 90.00 90.00 90.00
Fractional coordinates of all 5 atoms:
La  0.000  0.000  0.000
Te  0.000  0.000  0.500
N  0.000  0.500  0.000
N  0.500  0.000  0.000
F  0.500  0.500  0.500

Version 3
DFT (PBE-GGA) results for crystalline LaTeN2F at its relaxed geometry.

a b c (Å): 4.300 4.300 4.341
angles (deg): 90.00 90.00 90.00
Fractional coordinates of all 5 atoms:
La  0.000  0.000  0.000
Te  0.500  0.500  0.500
N  0.000  0.500  0.500
N  0.500  0.000  0.500
F  0.500  0.500  0.000

Most stable one: version 3, least stable one: version 2.